Computed, not measured: SrLa3Ir after structural relaxation at the PBE level of DFT.

Cell: 4.2203 6.8309 13.4589 Å, 85.83 80.98 90.00°
Closest atoms and distances in Å follow each position.
Fractional coordinates of all 10 atoms:
Sr: 0.0000 0.0000 0.0000  1 Ir 3.06
Sr: 0.1320 0.3023 0.7379  1 Ir 3.05
La: 0.2551 0.7252 0.4957  1 Ir 2.86
La: 0.3719 0.0677 0.2526  1 Ir 2.86
La: 0.5048 0.5054 0.9922  2 Ir 2.80
La: 0.6283 0.7936 0.7455  2 Ir 2.81
La: 0.7584 0.2149 0.4845  2 Ir 2.86
La: 0.8752 0.5825 0.2498  2 Ir 2.86
Ir: 0.0663 0.6493 0.8693  4 La 2.80-2.81, 2 Sr 3.05-3.06
Ir: 0.3159 0.4041 0.3688  6 La 2.86

Computed properties:
Its symmetry is No. 1. Its energy relative to the elements is -314.3 meV per atom.

---

Computed, not measured: ZrScCo2 after structural relaxation at the PBE level of DFT.

Cell: 5.4785 5.4785 4.4828 Å, 90.00 90.00 109.33°
Closest atoms and distances in Å follow each position.
Fractional coordinates of all 8 atoms:
Zr: 0.1290 0.8710 0.7500  8 Co 2.72-2.74
Zr: 0.8710 0.1290 0.2500  8 Co 2.72-2.74
Sc: 0.3791 0.6209 0.2500  8 Co 2.74-2.77
Sc: 0.6209 0.3791 0.7500  8 Co 2.74-2.77
Co: 0.1173 0.3672 0.7500  4 Zr 2.72-2.74, 4 Sc 2.74-2.77
Co: 0.3672 0.1173 0.2500  4 Zr 2.72-2.74, 4 Sc 2.74-2.77
Co: 0.6328 0.8827 0.7500  4 Zr 2.72-2.74, 4 Sc 2.74-2.77
Co: 0.8827 0.6328 0.2500  4 Zr 2.72-2.74, 4 Sc 2.74-2.77

Computed properties:
Its symmetry is No. 63. Its energy relative to the elements is -345.2 meV per atom.

---

Computed, not measured: NdP2Pt2 after structural relaxation at the PBE level of DFT.

Cell: 10.1076 10.1076 10.1076 Å, 155.41 155.41 35.05°
Closest atoms and distances in Å follow each position.
Fractional coordinates of all 10 atoms:
Nd: 0.1253 0.1253 0.0000  8 P 3.23, 9 Pt 3.24-3.49
Nd: 0.8747 0.8747 0.0000  8 P 3.23, 9 Pt 3.24-3.49
P: 0.2500 0.7500 0.5000  4 Pt 2.41
P: 0.4300 0.4300 0.0000  5 Pt 2.38-2.54
P: 0.5700 0.5700 0.0000  5 Pt 2.38-2.54
P: 0.7500 0.2500 0.5000  4 Pt 2.41
Pt: 0.0000 0.5000 0.5000  4 P 2.54
Pt: 0.3065 0.3065 0.0000  5 P 2.38-2.41
Pt: 0.5000 0.0000 0.5000  4 P 2.54
Pt: 0.6935 0.6935 0.0000  5 P 2.38-2.41

Computed properties:
Its symmetry is No. 139. Its energy relative to the elements is -981.1 meV per atom.

---

Computed, not measured: Ce3Pd after structural relaxation at the PBE level of DFT.

Cell: 3.1410 3.2098 9.5381 Å, 90.00 90.00 90.00°
Closest atoms and distances in Å follow each position.
Fractional coordinates of all 4 atoms:
Ce: 0.0000 0.0000 0.0000  6 Ce 2.99-3.21
Ce: 0.0000 0.5000 0.2642  6 Ce 2.99-3.21, 4 Pd 3.00
Ce: 0.5000 0.5000 0.7270  2 Pd 2.90, 4 Ce 3.14-3.21
Pd: 0.5000 0.0000 0.4735  6 Ce 2.90-3.00, 4 Pd 3.14-3.21

Computed properties:
Its symmetry is No. 25. Its energy relative to the elements is -105.9 meV per atom.

---

Computed, not measured: MnAs after structural relaxation at the PBE level of DFT.

Cell: 3.6641 3.6641 5.5021 Å, 90.00 90.00 120.00°
Closest atoms and distances in Å follow each position.
Fractional coordinates of all 4 atoms:
Mn: 0.0000 0.0000 0.0000  6 As 2.52, 2 Mn 2.75
Mn: 0.0000 0.0000 0.5000  6 As 2.52, 2 Mn 2.75
As: 0.3333 0.6667 0.2500  6 Mn 2.52
As: 0.6667 0.3333 0.7500  6 Mn 2.52

Computed properties:
Its symmetry is No. 194. Its energy relative to the elements is -235.0 meV per atom.

---

Computed, not measured: Na12Sb3I5 after structural relaxation at the PBE level of DFT.

Cell: 15.8693 15.8693 15.8693 Å, 109.47 109.47 109.47°
Closest atoms and distances in Å follow each position.
Fractional coordinates of all 80 atoms:
Na: 0.0639 0.2324 0.1400  2 I 3.04-3.18, 1 Sb 3.21, 1 Na 3.33
Na: 0.0639 0.3314 0.9238  2 I 3.04-3.18, 1 Sb 3.21, 1 Na 3.33
Na: 0.0762 0.6400 0.4076  2 I 3.04-3.18, 1 Sb 3.21, 1 Na 3.33
Na: 0.0762 0.9361 0.6686  2 I 3.04-3.18, 1 Sb 3.21, 1 Na 3.33
Na: 0.0924 0.7324 0.6686  2 I 3.04-3.18, 1 Sb 3.21, 1 Na 3.33
Na: 0.0924 0.8600 0.4238  2 I 3.04-3.18, 1 Sb 3.21, 1 Na 3.33
Na: 0.1400 0.0639 0.2324  2 I 3.04-3.18, 1 Sb 3.21, 1 Na 3.33
Na: 0.1400 0.5762 0.9076  2 I 3.04-3.18, 1 Sb 3.21, 1 Na 3.33
Na: 0.1686 0.2324 0.5924  2 I 3.04-3.18, 1 Sb 3.21, 1 Na 3.33
Na: 0.1686 0.4361 0.5762  2 I 3.04-3.18, 1 Sb 3.21, 1 Na 3.33
Na: 0.2324 0.1400 0.0639  2 I 3.04-3.18, 1 Sb 3.21, 1 Na 3.33
Na: 0.2324 0.5924 0.1686  2 I 3.04-3.18, 1 Sb 3.21, 1 Na 3.33
Na: 0.2676 0.3314 0.9076  2 I 3.04-3.18, 1 Sb 3.21, 1 Na 3.33
Na: 0.2676 0.4361 0.3600  2 I 3.04-3.18, 1 Sb 3.21, 1 Na 3.33
Na: 0.3314 0.9076 0.2676  2 I 3.04-3.18, 1 Sb 3.21, 1 Na 3.33
Na: 0.3314 0.9238 0.0639  2 I 3.04-3.18, 1 Sb 3.21, 1 Na 3.33
Na: 0.3600 0.2676 0.4361  2 I 3.04-3.18, 1 Sb 3.21, 1 Na 3.33
Na: 0.3600 0.5924 0.9238  2 I 3.04-3.18, 1 Sb 3.21, 1 Na 3.33
Na: 0.4076 0.0762 0.6400  2 I 3.04-3.18, 1 Sb 3.21, 1 Na 3.33
Na: 0.4076 0.8314 0.7676  2 I 3.04-3.18, 1 Sb 3.21, 1 Na 3.33
Na: 0.4238 0.0924 0.8600  2 I 3.04-3.18, 1 Sb 3.21, 1 Na 3.33
Na: 0.4238 0.8314 0.5639  2 I 3.04-3.18, 1 Sb 3.21, 1 Na 3.33
Na: 0.4361 0.3600 0.2676  2 I 3.04-3.18, 1 Sb 3.21, 1 Na 3.33
Na: 0.4361 0.5762 0.1686  2 I 3.04-3.18, 1 Sb 3.21, 1 Na 3.33
Na: 0.5639 0.4238 0.8314  2 I 3.04-3.18, 1 Sb 3.21, 1 Na 3.33
Na: 0.5639 0.6400 0.7324  2 I 3.04-3.18, 1 Sb 3.21, 1 Na 3.33
Na: 0.5762 0.1686 0.4361  2 I 3.04-3.18, 1 Sb 3.21, 1 Na 3.33
Na: 0.5762 0.9076 0.1400  2 I 3.04-3.18, 1 Sb 3.21, 1 Na 3.33
Na: 0.5924 0.1686 0.2324  2 I 3.04-3.18, 1 Sb 3.21, 1 Na 3.33
Na: 0.5924 0.9238 0.3600  2 I 3.04-3.18, 1 Sb 3.21, 1 Na 3.33
Na: 0.6400 0.4076 0.0762  2 I 3.04-3.18, 1 Sb 3.21, 1 Na 3.33
Na: 0.6400 0.7324 0.5639  2 I 3.04-3.18, 1 Sb 3.21, 1 Na 3.33
Na: 0.6686 0.0762 0.9361  2 I 3.04-3.18, 1 Sb 3.21, 1 Na 3.33
Na: 0.6686 0.0924 0.7324  2 I 3.04-3.18, 1 Sb 3.21, 1 Na 3.33
Na: 0.7324 0.5639 0.6400  2 I 3.04-3.18, 1 Sb 3.21, 1 Na 3.33
Na: 0.7324 0.6686 0.0924  2 I 3.04-3.18, 1 Sb 3.21, 1 Na 3.33
Na: 0.7676 0.4076 0.8314  2 I 3.04-3.18, 1 Sb 3.21, 1 Na 3.33
Na: 0.7676 0.8600 0.9361  2 I 3.04-3.18, 1 Sb 3.21, 1 Na 3.33
Na: 0.8314 0.5639 0.4238  2 I 3.04-3.18, 1 Sb 3.21, 1 Na 3.33
Na: 0.8314 0.7676 0.4076  2 I 3.04-3.18, 1 Sb 3.21, 1 Na 3.33
Na: 0.8600 0.4238 0.0924  2 I 3.04-3.18, 1 Sb 3.21, 1 Na 3.33
Na: 0.8600 0.9361 0.7676  2 I 3.04-3.18, 1 Sb 3.21, 1 Na 3.33
Na: 0.9076 0.1400 0.5762  2 I 3.04-3.18, 1 Sb 3.21, 1 Na 3.33
Na: 0.9076 0.2676 0.3314  2 I 3.04-3.18, 1 Sb 3.21, 1 Na 3.33
Na: 0.9238 0.0639 0.3314  2 I 3.04-3.18, 1 Sb 3.21, 1 Na 3.33
Na: 0.9238 0.3600 0.5924  2 I 3.04-3.18, 1 Sb 3.21, 1 Na 3.33
Na: 0.9361 0.6686 0.0762  2 I 3.04-3.18, 1 Sb 3.21, 1 Na 3.33
Na: 0.9361 0.7676 0.8600  2 I 3.04-3.18, 1 Sb 3.21, 1 Na 3.33
Sb: 0.1250 0.2500 0.3750  8 Na 3.21-3.41
Sb: 0.1250 0.3750 0.7500  8 Na 3.21-3.41
Sb: 0.2500 0.3750 0.1250  8 Na 3.21-3.41
Sb: 0.2500 0.8750 0.6250  8 Na 3.21-3.41
Sb: 0.3750 0.1250 0.2500  8 Na 3.21-3.41
Sb: 0.3750 0.7500 0.1250  8 Na 3.21-3.41
Sb: 0.6250 0.2500 0.8750  8 Na 3.21-3.41
Sb: 0.6250 0.8750 0.7500  8 Na 3.21-3.41
Sb: 0.7500 0.1250 0.3750  8 Na 3.21-3.41
Sb: 0.7500 0.6250 0.8750  8 Na 3.21-3.41
Sb: 0.8750 0.6250 0.2500  8 Na 3.21-3.41
Sb: 0.8750 0.7500 0.6250  8 Na 3.21-3.41
I: 0.0000 0.0000 0.0000  6 Na 3.18
I: 0.0000 0.0000 0.5000  6 Na 3.18
I: 0.0000 0.5000 0.0000  6 Na 3.18
I: 0.0000 0.5000 0.5000  6 Na 3.18
I: 0.1250 0.7500 0.8750  4 Na 3.04
I: 0.1250 0.8750 0.2500  4 Na 3.04
I: 0.2500 0.1250 0.8750  4 Na 3.04
I: 0.2500 0.6250 0.3750  4 Na 3.04
I: 0.3750 0.2500 0.6250  4 Na 3.04
I: 0.3750 0.6250 0.7500  4 Na 3.04
I: 0.5000 0.0000 0.0000  6 Na 3.18
I: 0.5000 0.0000 0.5000  6 Na 3.18
I: 0.5000 0.5000 0.0000  6 Na 3.18
I: 0.5000 0.5000 0.5000  6 Na 3.18
I: 0.6250 0.3750 0.2500  4 Na 3.04
I: 0.6250 0.7500 0.3750  4 Na 3.04
I: 0.7500 0.3750 0.6250  4 Na 3.04
I: 0.7500 0.8750 0.1250  4 Na 3.04
I: 0.8750 0.1250 0.7500  4 Na 3.04
I: 0.8750 0.2500 0.1250  4 Na 3.04

Computed properties:
As for the uncorrected formation energy: -1352 kJ/mol of formula units. Its symmetry is No. 230.

---

Uncorrected energy values (in eV per atom) by entry order: -5.38 -7.62 -6.51 -5.85 -7.14 -2.50.